Crystalline Ac2TmMnO6 at its relaxed geometry, computed with PBE with a Hubbard U.

Size of the total moment: 4.00 μB per cell
DFT total energy: -7.88 eV/atom

Cell: 9.972 5.812 5.870 Å, 90.00 124.78 90.00°
Space group C2/m (No. 12)
Symmetry-distinct sites (fractional):
Ac 0.247 0.000 0.234 (multiplicity 4)
Tm 0.000 0.000 0.500 (multiplicity 2)
Mn 0.000 0.500 0.000 (multiplicity 2)
O 0.048 0.258 0.810 (multiplicity 8)
O 0.237 0.500 0.321 (multiplicity 4)